## A
Density functional theory data (PBE) for a geometry-optimized Pm2HoGe2 structure.

Computed properties:
The calculation puts the size of the total moment at 0.0000 μB per atom. The density of states at the Fermi level comes out at 4.5 states/eV/f.u. As for the space group: P4/mbm, No. 127.

Unit cell a=4.375 b=7.673 c=7.673 alpha=90.00 beta=90.00 gamma=90.00
Atoms (fractional coordinates):
Ho1 0.000 0.000 0.000
Ho2 0.000 0.500 0.500
Ge1 0.000 0.377 0.877
Ge2 0.000 0.123 0.377
Ge3 0.000 0.877 0.623
Ge4 0.000 0.623 0.123
Pm1 0.500 0.326 0.174
Pm2 0.500 0.826 0.326
Pm3 0.500 0.174 0.674
Pm4 0.500 0.674 0.826

## B
Density functional theory data (PBE) for a geometry-optimized Pm2HoGe2 structure.

Computed properties:
The calculation puts the size of the total moment at 0.0000 μB per atom. The density of states at the Fermi level comes out at 2.7 states/eV/f.u. As for the space group: P-3m1, No. 164.

Unit cell a=5.034 b=6.282 c=8.711 alpha=89.95 beta=90.00 gamma=90.00
Atoms (fractional coordinates):
Ge1 0.750 0.798 0.083
Ge2 0.250 0.798 0.583
Ge3 0.750 0.202 0.417
Ge4 0.250 0.202 0.917
Ho1 0.250 0.000 0.250
Ho2 0.750 0.000 0.750
Pm1 0.750 0.309 0.083
Pm2 0.250 0.691 0.917
Pm3 0.750 0.690 0.417
Pm4 0.250 0.310 0.583

Most stable: A

## A
Density functional theory data (PBE) for a geometry-optimized PmHoGePt structure.

Computed properties:
The calculation puts the size of the total moment at 0.0000 μB per atom. The density of states at the Fermi level comes out at 2.2 states/eV/f.u. As for the space group: Amm2, No. 38.

Unit cell a=4.015 b=4.273 c=5.848 alpha=90.00 beta=110.07 gamma=90.00
Atoms (fractional coordinates):
Pt1 0.417 0.000 0.833
Ho1 0.139 0.000 0.278
Pm1 0.861 0.500 0.722
Ge1 0.583 0.500 0.167

## B
Density functional theory data (PBE) for a geometry-optimized PmHoGePt structure.

Computed properties:
The calculation puts the size of the total moment at 0.0000 μB per atom. The density of states at the Fermi level comes out at 1.4 states/eV/f.u. As for the space group: F-43m, No. 216.

Unit cell a=5.065 b=5.065 c=5.065 alpha=60.00 beta=60.00 gamma=60.00
Atoms (fractional coordinates):
Ge1 0.250 0.250 0.250
Ho1 0.000 0.000 0.000
Pt1 0.750 0.750 0.750
Pm1 0.500 0.500 0.500

Most stable: A

## A
Density functional theory data (PBE) for a geometry-optimized PrHoGe2 structure.

Computed properties:
The calculation puts the size of the total moment at 0.0000 μB per atom. The density of states at the Fermi level comes out at 2.5 states/eV/f.u. As for the space group: Pmc2_1, No. 26.

Unit cell a=4.036 b=5.905 c=8.144 alpha=90.00 beta=90.00 gamma=90.00
Atoms (fractional coordinates):
Ge1 0.000 0.607 0.540
Ge2 0.500 0.887 0.461
Ge3 0.000 0.393 0.040
Ge4 0.500 0.113 0.961
Pr1 0.000 0.868 0.181
Pr2 0.000 0.132 0.681
Ho1 0.500 0.369 0.318
Ho2 0.500 0.631 0.818

## B
Density functional theory data (PBE) for a geometry-optimized PrHoGe2 structure.

Computed properties:
The calculation puts the size of the total moment at 0.0000 μB per atom. The density of states at the Fermi level comes out at 3.2 states/eV/f.u. As for the space group: P4/mmm, No. 123.

Unit cell a=4.104 b=4.825 c=4.825 alpha=90.00 beta=90.00 gamma=90.00
Atoms (fractional coordinates):
Pr1 0.500 0.500 0.500
Ho1 0.500 0.000 0.000
Ge1 0.000 0.500 0.000
Ge2 0.000 0.000 0.500

Most stable: A

## A
Density functional theory data (PBE) for a geometry-optimized PrHoGe2 structure.

Computed properties:
The calculation puts the size of the total moment at 0.0000 μB per atom. The density of states at the Fermi level comes out at 2.7 states/eV/f.u. As for the space group: R-3m, No. 166.

Unit cell a=4.674 b=4.674 c=6.074 alpha=67.37 beta=67.37 gamma=60.00
Atoms (fractional coordinates):
Ho1 0.000 0.000 0.000
Ge1 0.741 0.741 0.778
Ge2 0.259 0.259 0.222
Pr1 0.500 0.500 0.500

## B
Density functional theory data (PBE) for a geometry-optimized PrHoGe2 structure.

Computed properties:
The calculation puts the size of the total moment at 0.0000 μB per atom. The density of states at the Fermi level comes out at 2.9 states/eV/f.u. As for the space group: Amm2, No. 38.

Unit cell a=4.398 b=4.037 c=5.900 alpha=90.00 beta=111.88 gamma=90.00
Atoms (fractional coordinates):
Pr1 0.444 0.500 0.426
Ho1 0.719 0.000 0.977
Ge1 0.167 0.500 0.873
Ge2 0.001 0.000 0.541

Most stable: B

## A
Density functional theory data (PBE) for a geometry-optimized PrHoGePt structure.

Computed properties:
The calculation puts the size of the total moment at 0.0000 μB per atom. The density of states at the Fermi level comes out at 2.3 states/eV/f.u. As for the space group: Amm2, No. 38.

Unit cell a=4.031 b=4.286 c=5.935 alpha=90.00 beta=109.85 gamma=90.00
Atoms (fractional coordinates):
Ge1 0.575 0.500 0.150
Pt1 0.415 0.000 0.830
Pr1 0.143 0.000 0.287
Ho1 0.867 0.500 0.733

## B
Density functional theory data (PBE) for a geometry-optimized PrHoGePt structure.

Computed properties:
The calculation puts the size of the total moment at 0.0000 μB per atom. The density of states at the Fermi level comes out at 1.6 states/eV/f.u. As for the space group: F-43m, No. 216.

Unit cell a=5.104 b=5.104 c=5.104 alpha=60.00 beta=60.00 gamma=60.00
Atoms (fractional coordinates):
Pr1 0.500 0.500 0.500
Ge1 0.250 0.250 0.250
Ho1 0.000 0.000 0.000
Pt1 0.750 0.750 0.750

Most stable: A

## A
Density functional theory data (PBE) for a geometry-optimized Ho3Ge2Pt7 structure.

Computed properties:
The calculation puts the size of the total moment at 0.0000 μB per atom. The density of states at the Fermi level comes out at 4.9 states/eV/f.u. As for the space group: Cmmm, No. 65.

Unit cell a=4.000 b=4.114 c=14.697 alpha=98.05 beta=90.00 gamma=90.00
Atoms (fractional coordinates):
Ho1 0.500 0.296 0.592
Ho2 0.500 0.500 0.000
Ho3 0.500 0.704 0.408
Pt1 0.000 0.367 0.734
Pt2 0.500 0.134 0.269
Pt3 0.500 0.866 0.731
Pt4 0.000 0.000 0.000
Pt5 0.000 0.633 0.266
Pt6 0.000 0.213 0.425
Pt7 0.000 0.787 0.575
Ge1 0.000 0.916 0.833
Ge2 0.000 0.084 0.167

## B
Density functional theory data (PBE) for a geometry-optimized Ho3Ge2Pt7 structure.

Computed properties:
The calculation puts the size of the total moment at 0.0000 μB per atom. The density of states at the Fermi level comes out at 4.7 states/eV/f.u. As for the space group: Cmmm, No. 65.

Unit cell a=3.975 b=4.157 c=13.803 alpha=98.66 beta=90.00 gamma=90.00
Atoms (fractional coordinates):
Pt1 0.000 0.000 0.000
Pt2 0.000 0.219 0.439
Pt3 0.000 0.420 0.840
Pt4 0.000 0.580 0.160
Pt5 0.500 0.078 0.155
Pt6 0.500 0.922 0.845
Pt7 0.000 0.781 0.561
Ho1 0.500 0.317 0.633
Ho2 0.500 0.683 0.367
Ho3 0.500 0.500 0.000
Ge1 0.000 0.869 0.738
Ge2 0.000 0.131 0.262

Most stable: B